# 1
## LaSbI2O (PBE-GGA)

Data for an optimized crystal structure of LaSbI2O.

Results
volume	181.2	Å³/f.u.
ΔE to the lowest computed polymorph	0.0000	eV per atom
magnetization	0.0	μB/f.u.
D(E_F)	4.7	states/eV/cell
energy relative to the elements, uncorrected	-1.0242	eV/atom
energy	-22.23	eV for the cell shown
space-group type	P4/mmm, No. 123

Geometry as extended XYZ:
```
5
Lattice="6.528 0.000 0.000 0.000 6.528 0.000 0.000 0.000 4.251" Properties=species:S:1:pos:R:3 pbc="T T T"
La 0.000 0.000 0.000
Sb 3.264 3.264 2.125
I 0.000 3.264 0.000
I 3.264 0.000 0.000
O 0.000 0.000 2.125
```

---

# 2
## Pm2PtRh (PBE-GGA)

Data for an optimized crystal structure of Pm2PtRh.

Results
ΔH_f (0 K)	-0.899	eV per atom
volume	89.6	Å³/f.u.
ΔE to the lowest computed polymorph	0.0535	eV per atom
magnetization	0.0	μB/f.u.
D(E_F)	2.5	states/eV/cell
energy	-26.49	eV for the cell shown
space-group type	P4/mmm, No. 123

Geometry as extended XYZ:
```
4
Lattice="3.548 0.000 0.000 0.000 3.548 0.000 0.000 0.000 7.120" Properties=species:S:1:pos:R:3 pbc="T T T"
Pm 0.000 0.000 1.746
Pm 0.000 0.000 5.373
Pt 1.774 1.774 3.560
Rh 1.774 1.774 0.000
```

---

# 3
## La2TlZnC (PBE-GGA)

Data for an optimized crystal structure of La2TlZnC.

Results
ΔH_f (0 K)	-0.150	eV per atom
volume	120.0	Å³/f.u.
magnetization	0.0	μB/f.u.
D(E_F)	5.4	states/eV/cell
energy	-23.47	eV for the cell shown
space-group type	P4/mmm, No. 123

Geometry as extended XYZ:
```
5
Lattice="5.465 0.000 0.000 0.000 5.465 0.000 0.000 0.000 4.019" Properties=species:S:1:pos:R:3 pbc="T T T"
La 0.000 2.732 0.000
La 2.732 0.000 0.000
Tl 0.000 0.000 2.010
Zn 2.732 2.732 2.010
C 2.732 2.732 0.000
```

---

# 4
## Pm2ZnRuO6 (PBE-GGA)

Data for an optimized crystal structure of Pm2ZnRuO6.

Results
volume	124.1	Å³/f.u.
magnetization	2.0	μB/f.u.
D(E_F)	9.9	states/eV/cell
energy relative to the elements, uncorrected	-2.2661	eV/atom
energy	-144.92	eV for the cell shown
space-group type	P2_1/c, No. 14

Geometry as extended XYZ:
```
20
Lattice="5.446 0.000 0.000 0.000 5.850 0.000 -5.415 0.000 7.792" Properties=species:S:1:pos:R:3 pbc="T T T"
Pm -0.113 0.430 1.952
Pm -2.821 2.495 5.849
Pm 2.852 3.354 1.944
Pm 0.144 5.420 5.840
Zn 2.723 0.000 0.000
Zn 0.015 2.925 3.896
Ru -2.708 0.000 3.896
Ru 0.000 2.925 0.000
O -4.421 1.189 7.343
O -1.713 1.735 3.447
O -3.758 4.040 7.377
O -1.051 4.734 3.481
O -2.099 0.211 5.805
O 0.609 2.713 1.909
O -0.578 3.136 5.883
O 2.130 5.638 1.987
O 1.081 1.115 4.311
O 3.789 1.809 0.415
O 1.744 4.114 4.345
O 4.452 4.660 0.449
```

---

# 5
## Pm7PrNd3 (PBE-GGA)

Data for an optimized crystal structure of Pm7PrNd3.

Results
ΔH_f (0 K)	0.208	eV per atom
volume	395.7	Å³/f.u.
ΔE to the lowest computed polymorph	0.0371	eV per atom
magnetization	0.0	μB/f.u.
D(E_F)	15.0	states/eV/cell
energy	-50.05	eV for the cell shown
space-group type	C2/m, No. 12

Geometry as extended XYZ:
```
11
Lattice="5.955 -5.126 0.000 5.955 5.126 0.000 -0.618 0.000 6.483" Properties=species:S:1:pos:R:3 pbc="T T T"
Pm 0.000 0.000 0.000
Pm 2.782 1.780 1.692
Pm 2.643 0.000 5.113
Pm 2.782 -1.780 1.692
Pm 8.509 1.780 4.791
Pm 8.648 0.000 1.370
Pm 8.509 -1.780 4.791
Pr -0.309 0.000 3.241
Nd 5.955 1.773 0.000
Nd 5.645 0.000 3.241
Nd 5.955 -1.773 0.000
```

---

# 6
## TcGe3F (PBE-GGA)

Data for an optimized crystal structure of TcGe3F.

Results
volume	107.1	Å³/f.u.
ΔE to the lowest computed polymorph	0.0000	eV per atom
magnetization	0.0	μB/f.u.
D(E_F)	0.0	states/eV/cell
energy relative to the elements, uncorrected	-0.3679	eV/atom
energy	-27.93	eV for the cell shown
space-group type	Pm-3m, No. 221

Geometry as extended XYZ:
```
5
Lattice="4.749 0.000 0.000 0.000 4.749 0.000 0.000 0.000 4.749" Properties=species:S:1:pos:R:3 pbc="T T T"
Tc 0.000 0.000 0.000
Ge 0.000 0.000 2.375
Ge 0.000 2.375 0.000
Ge 2.375 0.000 0.000
F 2.375 2.375 2.375
```

---

# 7
## PPtBr2 (PBE-GGA)

Data for an optimized crystal structure of PPtBr2.

Results
volume	95.5	Å³/f.u.
magnetization	0.0	μB/f.u.
D(E_F)	0.3	states/eV/cell
energy relative to the elements, uncorrected	-0.1228	eV/atom
energy	-15.29	eV for the cell shown
space-group type	Pm, No. 6

Geometry as extended XYZ:
```
4
Lattice="5.130 0.000 0.000 0.000 3.541 0.000 -1.380 0.000 5.259" Properties=species:S:1:pos:R:3 pbc="T T T"
P 0.000 0.000 0.000
Pt 2.454 1.771 4.491
Br 0.507 0.000 3.706
Br 3.029 1.771 1.868
```

---

# 8
## CsPmTe4 (PBE-GGA)

Data for an optimized crystal structure of CsPmTe4.

Results
volume	234.5	Å³/f.u.
magnetization	0.0	μB/f.u.
D(E_F)	0.6	states/eV/cell
energy relative to the elements, uncorrected	-0.9734	eV/atom
energy	-48.02	eV for the cell shown
space-group type	P4/nbm, No. 125

Geometry as extended XYZ:
```
12
Lattice="6.962 0.000 0.000 0.000 6.962 0.000 0.000 0.000 9.674" Properties=species:S:1:pos:R:3 pbc="T T T"
Cs 1.741 1.741 0.000
Cs 5.222 5.222 0.000
Pm 1.741 1.741 4.837
Pm 5.222 5.222 4.837
Te 0.738 4.219 2.951
Te 0.738 6.224 6.724
Te 2.743 4.219 6.724
Te 2.743 6.224 2.951
Te 4.219 0.738 6.724
Te 4.219 2.743 2.951
Te 6.224 0.738 2.951
Te 6.224 2.743 6.724
```

---

# 9
## KYEr4S8 (PBE-GGA)

Data for an optimized crystal structure of KYEr4S8.

Results
volume	384.9	Å³/f.u.
magnetization	0.0	μB/f.u.
D(E_F)	0.0	states/eV/cell
energy relative to the elements, uncorrected	-1.9321	eV/atom
energy	-85.88	eV for the cell shown
space-group type	R3m, No. 160

Geometry as extended XYZ:
```
14
Lattice="4.073 2.352 6.696 -4.073 2.352 6.696 0.000 -4.704 6.696" Properties=species:S:1:pos:R:3 pbc="T T T"
K 0.000 0.000 0.000
Y 0.000 0.000 12.680
Er -2.111 -1.219 9.205
Er 0.000 0.000 5.057
Er 2.111 -1.219 9.205
Er 0.000 2.438 9.205
S 0.000 -2.221 10.852
S -1.923 1.110 10.852
S 0.000 0.000 7.711
S -1.776 -1.025 14.391
S 1.923 1.110 10.852
S 0.000 0.000 17.260
S 1.776 -1.025 14.391
S 0.000 2.051 14.391
```

---

# 10
## AuSe2BrO (PBE-GGA)

Data for an optimized crystal structure of AuSe2BrO.

Results
volume	137.1	Å³/f.u.
ΔE to the lowest computed polymorph	0.4523	eV per atom
magnetization	2.1	μB/f.u.
D(E_F)	12.0	states/eV/cell
energy relative to the elements, uncorrected	1.1790	eV/atom
energy	-10.98	eV for the cell shown
space-group type	P4/mmm, No. 123

Geometry as extended XYZ:
```
5
Lattice="5.145 0.000 0.000 0.000 5.145 0.000 0.000 0.000 5.179" Properties=species:S:1:pos:R:3 pbc="T T T"
Au 0.000 0.000 0.000
Se 0.000 2.572 0.000
Se 2.572 0.000 0.000
Br 0.000 0.000 2.590
O 2.572 2.572 2.590
```

---

# 11
## MgCu2Si (PBE-GGA)

Data for an optimized crystal structure of MgCu2Si.

Results
volume	55.9	Å³/f.u.
magnetization	0.0	μB/f.u.
D(E_F)	1.8	states/eV/cell
energy relative to the elements, uncorrected	0.0003	eV/atom
energy	-15.21	eV for the cell shown
space-group type	Imm2, No. 44

Geometry as extended XYZ:
```
4
Lattice="-1.874 1.898 3.928 1.874 -1.898 3.928 1.874 1.898 -3.928" Properties=species:S:1:pos:R:3 pbc="T T T"
Mg 0.000 0.000 0.000
Cu 0.000 0.000 3.902
Cu 0.000 1.898 1.952
Si 1.874 0.000 1.975
```

---

# 12
## ZrRh2Cl (PBE-GGA)

Data for an optimized crystal structure of ZrRh2Cl.

Results
volume	65.6	Å³/f.u.
ΔE to the lowest computed polymorph	0.2923	eV per atom
magnetization	0.0	μB/f.u.
D(E_F)	1.9	states/eV/cell
energy relative to the elements, uncorrected	-0.1504	eV/atom
energy	-25.70	eV for the cell shown
space-group type	Imm2, No. 44

Geometry as extended XYZ:
```
4
Lattice="-1.600 2.264 4.525 1.600 -2.264 4.525 1.600 2.264 -4.525" Properties=species:S:1:pos:R:3 pbc="T T T"
Zr 0.000 0.000 0.000
Rh 0.000 0.000 4.201
Rh 0.000 2.264 2.135
Cl 1.600 0.000 2.105
```

---

# 13
## PrZn2SiNi4 (PBE-GGA)

Data for an optimized crystal structure of PrZn2SiNi4.

Results
volume	118.9	Å³/f.u.
magnetization	0.0	μB/f.u.
D(E_F)	4.8	states/eV/cell
energy relative to the elements, uncorrected	-0.3446	eV/atom
energy	-38.63	eV for the cell shown
space-group type	R-3m, No. 166

Geometry as extended XYZ:
```
8
Lattice="2.024 1.169 8.380 -2.024 1.169 8.380 0.000 -2.337 8.380" Properties=species:S:1:pos:R:3 pbc="T T T"
Pr 0.000 0.000 0.000
Zn 0.000 0.000 6.029
Zn 0.000 0.000 19.110
Si 0.000 0.000 12.570
Ni 0.000 0.000 3.441
Ni 0.000 0.000 10.309
Ni 0.000 0.000 14.831
Ni 0.000 0.000 21.699
```